PaReSi3: optimized geometry, PBE.

Computed properties:
Its volume is 17.52 Å³/atom. The calculation puts the energy relative to the lowest polymorph listed for this composition at 0.000 eV per atom. The uncorrected formation energy is -0.4037 eV per atom.

a b c (Å): 4.152 4.152 10.162
angles (deg): 90.00 90.00 90.00
Space group I4mm (No. 107)
Asymmetric unit:
1 Pa 0.000 0.000 0.000 [2 per cell]
2 Re 0.000 0.000 0.661 [2 per cell]
3 Si 0.000 0.000 0.430 [2 per cell]
4 Si 0.000 0.500 0.277 [4 per cell]